RbMgPb, optimized geometry, DFT PBE; formation energy = -88 meV/atom; offset from the most stable computed form = 4.0 kJ per mole of atoms; total moment = 0.00 μB per atom
1.0
-0.1320 -1.5390 4.8578
-1.3264 -4.6816 -1.5192
17.0722 -4.5224 -0.9687
Rb Mg Pb
4 4 4
Cartesian
5.5590 -1.4726 -0.3154
11.5132 -3.0498 -0.6533
2.2479 -3.8989 1.5004
13.3659 -6.8441 0.8695
-0.0660 -0.7695 2.4289
7.8729 -4.6020 -1.2440
8.4701 -3.0307 1.9446
-0.6632 -2.3408 -0.7596
1.6554 -0.4385 -0.0939
9.4623 -5.8100 1.0910
15.4169 -4.0839 -0.8748
6.1516 -4.9330 1.2789

***

RbBiI2Cl, optimized geometry, DFT PBE; ΔE_f (raw) = -0.3096 eV per atom; offset from the most stable computed form = 55.3 kJ per mole of atoms; total moment = 0.00 μB per atom
1.0
7.0917 0.0000 0.0000
0.0000 5.0801 0.0000
0.0000 0.0000 7.0917
Cl I Bi Rb
1 2 1 1
Cartesian
0.0000 0.0000 0.0000
0.0000 0.0000 3.5459
3.5459 0.0000 0.0000
0.0000 2.5401 0.0000
3.5459 2.5401 3.5459

***

Listing DFT total energy for the structures above in their given order: -2.179; -2.269 eV per atom.